Computed, not measured: a relaxed MnV2HO6 crystal at the PBE with a Hubbard U level of DFT.

Cell: 10.0274 9.7670 5.7094 Å, 90.00 106.17 90.00°
Space group C2/c (No. 15)
Inequivalent atoms, fractional coordinates:
1 Mn 0.0000 0.1162 0.2500
2 V 0.2179 0.4034 0.2283
3 H 0.0000 0.1169 0.7500
4 O 0.0917 0.0922 0.6525
5 O 0.1561 0.2407 0.2016
6 O 0.1582 0.4997 0.4492


Computed, not measured: a relaxed NiAu2F crystal at the PBE with a Hubbard U level of DFT.

Cell: 7.0719 7.0719 5.2848 Å, 90.00 90.00 90.00°
Space group I-42d (No. 122)
Inequivalent atoms, fractional coordinates:
1 Ni 0.0000 0.0000 0.0000
2 Au 0.2419 0.7500 0.6250
3 F 0.0000 0.0000 0.5000

Results
Energy above the lowest structure with this stoichiometry: 0.000 eV/f.u.


Sequential D(E_F) output: 10.47; 4.81 states/eV per cell
Sequential E output: -288.097; -44.707 eV for the cell shown
Sequential calculated density output: 3.14; 11.85 Mg/m³